# BaSi3Au

BaSi3Au after structural relaxation (PBE-GGA, Alexandria via LeMat-Bulk).

a = 5.0674 Å, b = 5.0674 Å, c = 5.0674 Å
α = 90.00°, β = 90.00°, γ = 90.00°
Element x y z (fractional)
Si: 0.0000 0.5000 0.0000
Si: 0.5000 0.0000 0.0000
Si: 0.0000 0.0000 0.5000
Au: 0.0000 0.0000 0.0000
Ba: 0.5000 0.5000 0.5000

Properties
theoretical density	5.34	g/cm3
uncorrected formation energy	9.5	kcal/mol of atoms
space-group type	Pm-3m